Here is a relaxed Pr2Se2O crystal from Alexandria. Energies are from PBE.

Structure (extended XYZ):
```
20
Lattice="8.9521 0.0000 0.0000 0.0000 7.4207 0.0000 -1.2441 0.0000 7.3021" Properties=species:S:1:pos:R:3 pbc="T T T"
Pr 0.2599 1.0961 2.3834
Pr -0.3622 2.6142 6.0344
Pr 2.8888 4.0979 1.7990
Pr 2.2667 7.0331 5.4501
Pr 5.4412 0.3876 1.8520
Pr 4.8192 3.3228 5.5031
Pr 8.0701 4.8064 1.2677
Pr 7.4480 6.3246 4.9187
Se 0.9028 4.6698 4.1613
Se 1.5249 6.4612 0.5103
Se 3.1979 1.6520 3.4416
Se 2.5759 2.0583 7.0927
Se 5.1321 5.3623 0.2094
Se 4.5100 5.7687 3.8605
Se 6.1831 0.9594 6.7918
Se 6.8052 2.7509 3.1408
O 0.2140 0.6310 4.7418
O 0.8360 3.0793 1.0907
O 6.8719 4.3413 6.2114
O 7.4940 6.7897 2.5604
```

Output
Formation energy without anion corrections   -2.433 eV per atom
E_tot   -134.6 eV/cell
Fermi-level density of states   0.0 states/eV per cell
Space-group type   P2_1/c, No. 14